(1)
Below is crystalline Na2V2CrS6 at its relaxed geometry, with properties calculated at the GGA-PBE level.

## Properties
density of states at the Fermi level: 14.41 states/eV per cell
ΔE_f (raw): -21.8 kcal/mol of atoms

Cell and atoms, written as CIF:
```
data_Na2V2CrS6
_chemical_formula_sum 'Na4 V4 Cr2 S12'
_space_group_name_H-M_alt 'C 1 2/m 1'
_space_group_IT_number 12
_space_group_name_Hall '-C 2y'
_cell_length_a 6.080
_cell_length_b 10.371
_cell_length_c 6.981
_cell_angle_alpha 90.00
_cell_angle_beta 105.01
_cell_angle_gamma 90.00
loop_
_atom_site_label
_atom_site_type_symbol
_atom_site_fract_x
_atom_site_fract_y
_atom_site_fract_z
Na1 Na 0.000 0.175 0.000
V1 V 0.000 0.348 0.500
Cr1 Cr 0.000 0.000 0.500
S1 S 0.223 0.169 0.692
S2 S 0.235 0.500 0.710
```


(2)
Below is crystalline Na3Y3CrS8 at its relaxed geometry, with properties calculated at the GGA-PBE level.

## Properties
density of states at the Fermi level: 26.34 states/eV per cell
ΔE_f (raw): -34.9 kcal/mol of atoms

Cell and atoms, written as CIF:
```
data_Na3Y3CrS8
_chemical_formula_sum 'Na9 Y9 Cr3 S24'
_space_group_name_H-M_alt 'R -3 m'
_space_group_IT_number 166
_space_group_name_Hall '-R 3 2"'
_cell_length_a 7.7268
_cell_length_b 7.7268
_cell_length_c 20.3709
_cell_angle_alpha 90.00
_cell_angle_beta 90.00
_cell_angle_gamma 120.00
loop_
_atom_site_label
_atom_site_type_symbol
_atom_site_fract_x
_atom_site_fract_y
_atom_site_fract_z
Na1 Na 0.0000 0.5000 0.0000
Y1 Y 0.0000 0.5000 0.5000
Cr1 Cr 0.0000 0.0000 0.5000
S1 S 0.0000 0.0000 0.2433
S2 S 0.0331 0.5165 0.2362
```


- Which of these has the highest ΔE_f (raw)?
  Na2V2CrS6